## BaPr2Er (GGA-PBE)

Data for BaPr2Er after structural relaxation.

The calculation puts the raw total energy at -15.278 eV/cell. The calculation puts the formation energy at 0.192 eV/atom. The magnetic moment is 0.000 μB per atom. The value obtained for the density of states at the Fermi level is 1.467 states/eV per atom. The value obtained for the volume is 155 Å³/f.u. The value obtained for the energy above the lowest structure with this stoichiometry is 84 meV per atom.

Lattice parameters (Å, degrees): 13.3419 13.3419 13.3419 15.90 15.90 15.90
Closest atoms and distances in Å follow each position.
Fractional coordinates of all 4 atoms:
Ba  0.0000  0.0000  0.0000  6 Ba 3.69, 2 Pr 3.72
Pr  0.0941  0.0941  0.0941  3 Er 3.57, 6 Pr 3.69, 1 Ba 3.72
Pr  0.9059  0.9059  0.9059  3 Er 3.57, 6 Pr 3.69, 1 Ba 3.72
Er  0.5000  0.5000  0.5000  6 Pr 3.57, 6 Er 3.69


## BaPr2Er (GGA-PBE)

Data for BaPr2Er after structural relaxation.

The calculation puts the raw total energy at -15.613 eV/cell. The calculation puts the formation energy at 0.108 eV/atom. The magnetic moment is 0.000 μB per atom. The value obtained for the density of states at the Fermi level is 1.328 states/eV per atom. The value obtained for the volume is 156 Å³/f.u. The value obtained for the energy above the lowest structure with this stoichiometry is 0 meV per atom.

Lattice parameters (Å, degrees): 3.7849 3.7849 10.8838 90.00 90.00 90.00
Closest atoms and distances in Å follow each position.
Fractional coordinates of all 4 atoms:
Ba  0.0000  0.0000  0.0000  4 Ba 3.78, 8 Pr 4.09
Pr  0.5000  0.5000  0.2837  4 Er 3.56, 4 Pr 3.78
Pr  0.5000  0.5000  0.7163  4 Er 3.56, 4 Pr 3.78
Er  0.0000  0.0000  0.5000  8 Pr 3.56, 4 Er 3.78


## BaPrEr2 (GGA-PBE)

Data for BaPrEr2 after structural relaxation.

The calculation puts the raw total energy at -15.162 eV/cell. The calculation puts the formation energy at 0.167 eV/atom. The magnetic moment is 0.000 μB per atom. The value obtained for the density of states at the Fermi level is 1.567 states/eV per atom. The value obtained for the volume is 150 Å³/f.u. The value obtained for the energy above the lowest structure with this stoichiometry is 0 meV per atom.

Lattice parameters (Å, degrees): 3.7331 3.7331 10.7585 90.00 90.00 90.00
Closest atoms and distances in Å follow each position.
Fractional coordinates of all 4 atoms:
Ba  0.0000  0.0000  0.0000  4 Ba 3.73, 8 Er 4.00
Pr  0.0000  0.0000  0.5000  8 Er 3.55, 4 Pr 3.73
Er  0.5000  0.5000  0.2793  4 Pr 3.55, 4 Er 3.73
Er  0.5000  0.5000  0.7207  4 Pr 3.55, 4 Er 3.73


## BaPrEr (GGA-PBE)

Data for BaPrEr after structural relaxation.

The calculation puts the raw total energy at -10.737 eV/cell. The calculation puts the formation energy at 0.176 eV/atom. The magnetic moment is 0.000 μB per atom. The value obtained for the density of states at the Fermi level is 1.750 states/eV per atom. The value obtained for the volume is 119 Å³/f.u. The value obtained for the energy above the lowest structure with this stoichiometry is 13 meV per atom.

Lattice parameters (Å, degrees): 3.8096 3.8096 9.4705 90.00 90.00 120.00
Closest atoms and distances in Å follow each position.
Fractional coordinates of all 3 atoms:
Ba  0.0000  0.0000  0.0000  6 Ba 3.81, 3 Er 3.94, 3 Pr 4.09
Pr  0.3333  0.6667  0.6364  3 Er 3.52, 6 Pr 3.81
Er  0.6667  0.3333  0.3456  3 Pr 3.52, 6 Er 3.81, 3 Ba 3.94


## BaPrEr4Se8 (GGA-PBE)

Data for BaPrEr4Se8 after structural relaxation.

The value obtained for the energy relative to the elements, uncorrected is -1.76 eV per atom. The calculation puts the raw total energy at -77.434 eV/cell. The magnetic moment is 0.000 μB per atom. The value obtained for the density of states at the Fermi level is 0.305 states/eV per atom. The value obtained for the volume is 452 Å³/f.u.

Lattice parameters (Å, degrees): 8.6909 8.6909 8.6909 58.88 58.88 58.88
Closest atoms and distances in Å follow each position.
Fractional coordinates of all 14 atoms:
Ba  0.0000  0.0000  0.0000  4 Se 3.00-3.01
Pr  0.6311  0.6311  0.6311  6 Se 2.94-3.08
Er  0.1247  0.6302  0.6302  6 Se 2.79-2.97
Er  0.2546  0.2546  0.2546  4 Se 2.75-2.83
Er  0.6302  0.1247  0.6302  6 Se 2.79-2.97
Er  0.6302  0.6302  0.1247  6 Se 2.79-2.97
Se  0.3789  0.3789  0.8619  3 Er 2.75-2.96
Se  0.3789  0.8619  0.3789  3 Er 2.75-2.96
Se  0.3864  0.3864  0.3864  4 Er 2.83-2.97
Se  0.4278  0.8703  0.8703  2 Er 2.79, 1 Pr 2.94, 1 Ba 3.00
Se  0.8598  0.8598  0.8598  3 Er 2.81, 1 Ba 3.01
Se  0.8619  0.3789  0.3789  3 Er 2.75-2.96
Se  0.8703  0.4278  0.8703  2 Er 2.79, 1 Pr 2.94, 1 Ba 3.00
Se  0.8703  0.8703  0.4278  2 Er 2.79, 1 Pr 2.94, 1 Ba 3.00


## Ba3Pr2ErSe6 (GGA-PBE)

Data for Ba3Pr2ErSe6 after structural relaxation.

The value obtained for the energy relative to the elements, uncorrected is -1.90 eV per atom. The calculation puts the raw total energy at -63.549 eV/cell. The magnetic moment is 0.000 μB per atom. The value obtained for the density of states at the Fermi level is 0.405 states/eV per atom. The value obtained for the volume is 368 Å³/f.u.

Lattice parameters (Å, degrees): 7.5731 7.5731 7.8260 99.31 99.31 119.93
Closest atoms and distances in Å follow each position.
Fractional coordinates of all 12 atoms:
Ba  0.0000  0.0000  0.0000  6 Se 3.24-3.34
Ba  0.3296  0.6704  0.0000  6 Se 3.25-3.32
Ba  0.6704  0.3296  0.0000  6 Se 3.25-3.32
Pr  0.1656  0.8344  0.5000  6 Se 3.04-3.05
Pr  0.8344  0.1656  0.5000  6 Se 3.04-3.05
Er  0.5000  0.5000  0.5000  6 Se 2.92-2.93
Se  0.1067  0.4277  0.2823  1 Er 2.92, 2 Pr 3.04-3.05, 2 Ba 3.24-3.25
Se  0.2533  0.2533  0.7213  1 Er 2.93, 2 Pr 3.04, 2 Ba 3.26
Se  0.4277  0.1067  0.2823  1 Er 2.92, 2 Pr 3.04-3.05, 2 Ba 3.24-3.25
Se  0.5723  0.8933  0.7177  1 Er 2.92, 2 Pr 3.04-3.05, 2 Ba 3.24-3.25
Se  0.7467  0.7467  0.2787  1 Er 2.93, 2 Pr 3.04, 2 Ba 3.26
Se  0.8933  0.5723  0.7177  1 Er 2.92, 2 Pr 3.04-3.05, 2 Ba 3.24-3.25


## Ba3Pr3ErTe8 (GGA-PBE)

Data for Ba3Pr3ErTe8 after structural relaxation.

The value obtained for the energy relative to the elements, uncorrected is -1.57 eV per atom. The calculation puts the raw total energy at -73.292 eV/cell. The magnetic moment is 0.000 μB per atom. The value obtained for the density of states at the Fermi level is 0.284 states/eV per atom. The value obtained for the volume is 592 Å³/f.u.

Lattice parameters (Å, degrees): 9.2079 9.2079 9.6530 118.45 118.45 60.02
Closest atoms and distances in Å follow each position.
Fractional coordinates of all 15 atoms:
Ba  0.0000  0.0000  0.0000  6 Te 3.45-3.47
Ba  0.0000  0.5000  0.0000  6 Te 3.45-3.47
Ba  0.5000  0.0000  0.0000  6 Te 3.45-3.47
Pr  0.0000  0.5000  0.5000  6 Te 3.22-3.23
Pr  0.5000  0.0000  0.5000  6 Te 3.22-3.23
Pr  0.5000  0.5000  0.5000  6 Te 3.22-3.23
Er  0.0000  0.0000  0.5000  6 Te 3.13
Te  0.2350  0.2350  0.7185  1 Er 3.13, 2 Pr 3.22, 2 Ba 3.47
Te  0.2351  0.7482  0.7185  1 Er 3.13, 2 Pr 3.22, 2 Ba 3.47
Te  0.2518  0.7649  0.2815  1 Er 3.13, 2 Pr 3.22, 2 Ba 3.47
Te  0.2576  0.2576  0.2726  3 Pr 3.23, 3 Ba 3.45
Te  0.7424  0.7424  0.7274  3 Pr 3.23, 3 Ba 3.45
Te  0.7482  0.2351  0.7185  1 Er 3.13, 2 Pr 3.22, 2 Ba 3.47
Te  0.7649  0.2518  0.2815  1 Er 3.13, 2 Pr 3.22, 2 Ba 3.47
Te  0.7650  0.7650  0.2815  1 Er 3.13, 2 Pr 3.22, 2 Ba 3.47


## Ba2ErSi3Pt12 (GGA-PBE)

Data for Ba2ErSi3Pt12 after structural relaxation.

The value obtained for the energy relative to the elements, uncorrected is -0.44 eV per atom. The calculation puts the raw total energy at -104.999 eV/cell. The magnetic moment is 0.000 μB per atom. The value obtained for the density of states at the Fermi level is 0.421 states/eV per atom. The value obtained for the volume is 385 Å³/f.u.

Lattice parameters (Å, degrees): 7.9016 7.9016 7.9016 64.75 64.75 64.75
Closest atoms and distances in Å follow each position.
Fractional coordinates of all 18 atoms:
Ba  0.1026  0.1026  0.1026  6 Pt 3.04-3.08
Ba  0.8974  0.8974  0.8974  6 Pt 3.04-3.08
Er  0.5000  0.5000  0.5000  6 Pt 2.67
Si  0.0000  0.5000  0.5000  6 Pt 2.34-2.37
Si  0.5000  0.0000  0.5000  6 Pt 2.34-2.37
Si  0.5000  0.5000  0.0000  6 Pt 2.34-2.37
Pt  0.1095  0.6334  0.6334  1 Si 2.34
Pt  0.1578  0.1578  0.5888  2 Si 2.37
Pt  0.1578  0.5888  0.1578  2 Si 2.37
Pt  0.3666  0.3666  0.8905  1 Si 2.34
Pt  0.3666  0.8905  0.3666  1 Si 2.34
Pt  0.4112  0.8422  0.8422  2 Si 2.37
Pt  0.5888  0.1578  0.1578  2 Si 2.37
Pt  0.6334  0.1095  0.6334  1 Si 2.34
Pt  0.6334  0.6334  0.1095  1 Si 2.34
Pt  0.8422  0.4112  0.8422  2 Si 2.37
Pt  0.8422  0.8422  0.4112  2 Si 2.37
Pt  0.8905  0.3666  0.3666  1 Si 2.34


## Ba2ErPuS6 (GGA-PBE)

Data for Ba2ErPuS6 after structural relaxation.

The value obtained for the energy relative to the elements, uncorrected is -1.78 eV per atom. The calculation puts the raw total energy at -130.631 eV/cell. The magnetic moment is 0.300 μB per atom. The value obtained for the density of states at the Fermi level is 0.956 states/eV per atom. The value obtained for the volume is 275 Å³/f.u.

Lattice parameters (Å, degrees): 7.1884 7.4188 12.5604 90.00 124.89 90.00
Closest atoms and distances in Å follow each position.
Fractional coordinates of all 20 atoms:
Ba  0.2345  0.0576  0.2494  7 S 3.19-3.57
Ba  0.2345  0.4424  0.7494  7 S 3.19-3.57
Ba  0.7655  0.5576  0.2506  7 S 3.19-3.57
Ba  0.7655  0.9424  0.7506  7 S 3.19-3.57
Er  0.0000  0.0000  0.5000  6 S 2.68-2.70
Er  0.0000  0.5000  0.0000  6 S 2.68-2.70
Pu  0.5000  0.0000  0.0000  6 S 2.60-2.62
Pu  0.5000  0.5000  0.5000  6 S 2.60-2.62
S  0.1683  0.2028  0.9588  1 Pu 2.61, 1 Er 2.70
S  0.1683  0.2972  0.4588  1 Pu 2.61, 1 Er 2.70
S  0.2575  0.7102  0.9583  1 Pu 2.62, 1 Er 2.69
S  0.2575  0.7898  0.4583  1 Pu 2.62, 1 Er 2.69
S  0.3323  0.0166  0.7539  1 Pu 2.60, 1 Er 2.68
S  0.3323  0.4834  0.2539  1 Pu 2.60, 1 Er 2.68
S  0.6677  0.5166  0.7461  1 Pu 2.60, 1 Er 2.68
S  0.6677  0.9834  0.2461  1 Pu 2.60, 1 Er 2.68
S  0.7425  0.2102  0.5417  1 Pu 2.62, 1 Er 2.69
S  0.7425  0.2898  0.0417  1 Pu 2.62, 1 Er 2.69
S  0.8317  0.7028  0.5412  1 Pu 2.61, 1 Er 2.70
S  0.8317  0.7972  0.0412  1 Pu 2.61, 1 Er 2.70


## BaErRh4 (GGA-PBE)

Data for BaErRh4 after structural relaxation.

The calculation puts the raw total energy at -38.005 eV/cell. The calculation puts the formation energy at -0.352 eV/atom. The magnetic moment is 0.000 μB per atom. The value obtained for the density of states at the Fermi level is 0.704 states/eV per atom. The value obtained for the volume is 115 Å³/f.u.

Lattice parameters (Å, degrees): 5.4596 5.4596 5.4596 60.00 60.00 60.00
Closest atoms and distances in Å follow each position.
Fractional coordinates of all 6 atoms:
Ba  0.0000  0.0000  0.0000  12 Rh 3.20, 4 Er 3.34
Er  0.7500  0.7500  0.7500  12 Rh 3.20, 4 Ba 3.34
Rh  0.3756  0.3756  0.3756  6 Rh 2.72-2.74
Rh  0.3756  0.3756  0.8731  6 Rh 2.72-2.74
Rh  0.3756  0.8731  0.3756  6 Rh 2.72-2.74
Rh  0.8731  0.3756  0.3756  6 Rh 2.72-2.74


## BaErRh (GGA-PBE)

Data for BaErRh after structural relaxation.

The calculation puts the raw total energy at -60.819 eV/cell. The calculation puts the formation energy at -0.456 eV/atom. The magnetic moment is 0.000 μB per atom. The value obtained for the density of states at the Fermi level is 0.581 states/eV per atom. The value obtained for the volume is 108 Å³/f.u.

Lattice parameters (Å, degrees): 11.5205 11.5205 7.6518 94.20 94.20 25.13
Closest atoms and distances in Å follow each position.
Fractional coordinates of all 12 atoms:
Ba  0.0822  0.0822  0.3041  4 Rh 3.57-3.67, 2 Er 3.65-3.77
Ba  0.4066  0.4066  0.1759  2 Rh 3.06-3.17
Ba  0.5934  0.5934  0.8241  2 Rh 3.06-3.17
Ba  0.9178  0.9178  0.6959  4 Rh 3.57-3.67, 2 Er 3.65-3.77
Er  0.2149  0.2149  0.6095  4 Rh 2.74-2.76
Er  0.2343  0.2343  0.1289  3 Rh 2.74-2.92
Er  0.7657  0.7657  0.8711  3 Rh 2.74-2.92
Er  0.7851  0.7851  0.3905  4 Rh 2.74-2.76
Rh  0.3135  0.3135  0.8443  4 Er 2.74-2.92, 1 Rh 2.82
Rh  0.3261  0.3261  0.4807  3 Er 2.74-2.76, 1 Rh 2.82, 1 Ba 3.06
Rh  0.6739  0.6739  0.5193  3 Er 2.74-2.76, 1 Rh 2.82, 1 Ba 3.06
Rh  0.6865  0.6865  0.1557  4 Er 2.74-2.92, 1 Rh 2.82


## Ba2Er3S6 (GGA-PBE)

Data for Ba2Er3S6 after structural relaxation.

The value obtained for the energy relative to the elements, uncorrected is -2.08 eV per atom. The calculation puts the raw total energy at -65.124 eV/cell. The magnetic moment is 0.000 μB per atom. The value obtained for the density of states at the Fermi level is 0.316 states/eV per atom. The value obtained for the volume is 303 Å³/f.u.

Lattice parameters (Å, degrees): 6.9311 6.9311 7.6318 98.68 98.68 119.96
Closest atoms and distances in Å follow each position.
Fractional coordinates of all 11 atoms:
Ba  0.1672  0.8328  0.0000  6 S 3.15
Ba  0.8328  0.1672  0.0000  6 S 3.15
Er  0.0000  0.0000  0.5000  6 S 2.75
Er  0.3349  0.6651  0.5000  6 S 2.75-2.76
Er  0.6651  0.3349  0.5000  6 S 2.75-2.76
S  0.0669  0.4014  0.7049  3 Er 2.75-2.76
S  0.2634  0.2634  0.2930  3 Er 2.75
S  0.4014  0.0669  0.7049  3 Er 2.75-2.76
S  0.5986  0.9331  0.2951  3 Er 2.75-2.76
S  0.7366  0.7366  0.7070  3 Er 2.75
S  0.9331  0.5986  0.2951  3 Er 2.75-2.76